First-principles (GGA-PBEsol) data for a geometry-optimized CaY2Mg structure, as listed in Alexandria.

Computed properties:
- energy (eV per cell) = -17.4
- density of states at the Fermi level (states/eV/cell) = 4.64

Lattice parameters (Å, degrees): 3.7344 3.7344 8.8664 90.00 90.00 90.00
Closest atoms and distances in Å follow each position.
Space group P4/mmm (No. 123)
One atom of each set of equivalent atoms:
Ca 0.0000 0.0000 0.0000 [1 per cell]  8 Y 3.73, 4 Ca 3.73
Y 0.5000 0.5000 0.2975 [2 per cell]  4 Mg 3.19
Mg 0.0000 0.0000 0.5000 [1 per cell]  8 Y 3.19

=====

First-principles (GGA-PBEsol) data for a geometry-optimized HgH2SO5 structure, as listed in Alexandria.

Computed properties:
- energy (eV per cell) = -188.8
- density of states at the Fermi level (states/eV/cell) = 0.00

Lattice parameters (Å, degrees): 7.7915 8.9442 5.4993 90.00 90.00 90.00
Closest atoms and distances in Å follow each position.
Space group Pna2_1 (No. 33)
One atom of each set of equivalent atoms:
Hg 0.1415 0.2140 0.0000 [4 per cell]  2 O 2.17-2.23
H 0.0341 0.4885 0.1476 [4 per cell]  1 O 0.99
H 0.2094 0.5111 0.0015 [4 per cell]  1 O 1.00
S 0.0857 0.8610 0.9993 [4 per cell]  4 O 1.46-1.51
O 0.0860 0.0725 0.5009 [4 per cell]  1 S 1.46
O 0.0951 0.4597 0.9966 [4 per cell]  2 H 0.99-1.00
O 0.1094 0.7676 0.7766 [4 per cell]  1 S 1.49
O 0.1103 0.7653 0.2193 [4 per cell]  1 S 1.49
O 0.2225 0.9813 0.0005 [4 per cell]  1 S 1.51

=====

First-principles (GGA-PBEsol) data for a geometry-optimized ZrCrSi2 structure, as listed in Alexandria.

Computed properties:
- energy (eV per cell) = -63.0
- ΔE_f (raw) (eV per atom) = -0.172
- density of states at the Fermi level (states/eV/cell) = 5.43

Lattice parameters (Å, degrees): 5.5346 7.3440 2.9863 90.00 99.23 90.00
Closest atoms and distances in Å follow each position.
Space group C2/m (No. 12)
One atom of each set of equivalent atoms:
Zr 0.0000 0.0000 0.0000 [2 per cell]  8 Si 2.62-2.86, 2 Cr 2.77
Cr 0.0000 0.5000 0.0000 [2 per cell]  8 Si 2.62-2.86, 2 Zr 2.77
Si 0.2500 0.2500 0.5000 [4 per cell]  4 Cr 2.62-2.86, 4 Zr 2.62-2.86, 2 Si 2.77

=====

First-principles (GGA-PBEsol) data for a geometry-optimized BaCdSbI2 structure, as listed in Alexandria.

Computed properties:
- energy (eV per cell) = -11.8
- ΔE_f (raw) (eV per atom) = -0.081
- density of states at the Fermi level (states/eV/cell) = 3.68

Lattice parameters (Å, degrees): 6.5232 6.5232 6.9498 90.00 90.00 90.00
Closest atoms and distances in Å follow each position.
Space group P4/mmm (No. 123)
One atom of each set of equivalent atoms:
Ba 0.0000 0.0000 0.0000 [1 per cell]  4 I 3.26, 2 Sb 3.47
Cd 0.5000 0.5000 0.5000 [1 per cell]  4 Sb 4.61, 8 I 4.77
Sb 0.0000 0.0000 0.5000 [1 per cell]  2 Ba 3.47
I 0.0000 0.5000 0.0000 [2 per cell]  2 Ba 3.26

=====

First-principles (GGA-PBEsol) data for a geometry-optimized PIr2Se structure, as listed in Alexandria.

Computed properties:
- energy (eV per cell) = -105.5
- ΔE_f (raw) (eV per atom) = 0.725
- density of states at the Fermi level (states/eV/cell) = 15.24

Lattice parameters (Å, degrees): 6.2146 6.2146 6.2146 90.00 90.00 90.00
Closest atoms and distances in Å follow each position.
Space group F-43m (No. 216)
One atom of each set of equivalent atoms:
P 0.0000 0.0000 0.0000 [4 per cell]  4 Se 2.69, 4 Ir 2.69
Ir 0.0000 0.0000 0.5000 [4 per cell]  4 Ir 2.69, 4 Se 2.69
Ir 0.2500 0.2500 0.2500 [4 per cell]  4 Ir 2.69, 4 P 2.69
Se 0.2500 0.2500 0.7500 [4 per cell]  4 Ir 2.69, 4 P 2.69

=====

First-principles (GGA-PBEsol) data for a geometry-optimized YBSe2Br structure, as listed in Alexandria.

Computed properties:
- energy (eV per cell) = -21.7
- ΔE_f (raw) (eV per atom) = 0.337
- density of states at the Fermi level (states/eV/cell) = 5.17

Lattice parameters (Å, degrees): 5.3928 5.3928 5.4253 90.00 90.00 90.00
Closest atoms and distances in Å follow each position.
Space group P4/mmm (No. 123)
One atom of each set of equivalent atoms:
Y 0.0000 0.0000 0.0000 [1 per cell]  4 Se 2.70, 2 Br 2.71
B 0.5000 0.5000 0.5000 [1 per cell]  4 Br 3.81, 8 Se 3.82
Se 0.0000 0.5000 0.0000 [2 per cell]  2 Y 2.70
Br 0.0000 0.0000 0.5000 [1 per cell]  2 Y 2.71

=====

First-principles (GGA-PBEsol) data for a geometry-optimized InPSe2Br structure, as listed in Alexandria.

Computed properties:
- energy (eV per cell) = -18.2
- ΔE_f (raw) (eV per atom) = 0.036
- density of states at the Fermi level (states/eV/cell) = 3.16

Lattice parameters (Å, degrees): 4.8405 4.8405 5.1436 90.00 90.00 90.00
Closest atoms and distances in Å follow each position.
Space group P4/mmm (No. 123)
One atom of each set of equivalent atoms:
In 0.0000 0.0000 0.0000 [1 per cell]  4 Br 3.42, 8 Se 3.53
P 0.5000 0.5000 0.5000 [1 per cell]  4 Se 2.42, 2 Br 2.57
Se 0.0000 0.5000 0.5000 [2 per cell]  2 P 2.42
Br 0.5000 0.5000 0.0000 [1 per cell]  2 P 2.57

=====

First-principles (GGA-PBEsol) data for a geometry-optimized BeRuO2F structure, as listed in Alexandria.

Computed properties:
- energy (eV per cell) = -28.4
- ΔE_f (raw) (eV per atom) = -0.364
- density of states at the Fermi level (states/eV/cell) = 3.89

Lattice parameters (Å, degrees): 3.7639 3.7639 4.1374 90.00 90.00 90.00
Closest atoms and distances in Å follow each position.
Space group P4/mmm (No. 123)
One atom of each set of equivalent atoms:
Be 0.0000 0.0000 0.0000 [1 per cell]  4 F 2.66, 8 O 2.80
Ru 0.5000 0.5000 0.5000 [1 per cell]  4 O 1.88, 2 F 2.07
O 0.0000 0.5000 0.5000 [2 per cell]  2 Ru 1.88
F 0.5000 0.5000 0.0000 [1 per cell]  2 Ru 2.07